## AgBPt3 (PBE-GGA)

Data for crystalline AgBPt3 at its relaxed geometry.

Calculated values
- energy (eV/atom) = -5.641
- energy relative to the elements (eV per atom) = -0.111
- excess energy over the best structure of this formula in the dataset (meV per atom) = 113
- volume (Å³ per cell) = 149.6
- space group = No. 161
- total magnetic moment (Bohr magnetons per cell) = 0.000
- density of states at the Fermi level (states/eV/cell) = 2.46

abc: 5.666 5.666 5.666
angles: 67.66 67.66 67.66
Positions (direct):
1 Pt 0.210 0.793 0.723
2 Pt 0.793 0.723 0.210
3 Pt 0.710 0.223 0.293
4 Pt 0.223 0.293 0.710
5 Pt 0.723 0.210 0.793
6 Pt 0.293 0.710 0.223
7 Ag 0.729 0.729 0.729
8 Ag 0.229 0.229 0.229
9 B 0.526 0.526 0.526
10 B 0.026 0.026 0.026


## CaYRe2 (PBE-GGA)

Data for crystalline CaYRe2 at its relaxed geometry.

Calculated values
- energy (eV/atom) = -8.023
- energy relative to the elements (eV per atom) = 0.318
- excess energy over the best structure of this formula in the dataset (meV per atom) = 132
- volume (Å³ per cell) = 91.1
- space group = No. 44
- total magnetic moment (Bohr magnetons per cell) = 0.000
- density of states at the Fermi level (states/eV/cell) = 1.94

abc: 5.879 5.879 5.039
angles: 64.64 64.64 35.88
Positions (direct):
1 Y 0.489 0.489 0.510
2 Re 0.701 0.701 0.799
3 Re 0.042 0.042 0.958
4 Ca 0.267 0.267 0.233


## Nd4Pt2O (PBE-GGA)

Data for crystalline Nd4Pt2O at its relaxed geometry.

Calculated values
- formation energy from raw total energies (kJ/mol of atoms) = -134.9
- energy (eV/atom) = -6.557
- excess energy over the best structure of this formula in the dataset (meV per atom) = 22
- volume (Å³ per cell) = 172.8
- space group = No. 139
- total magnetic moment (Bohr magnetons per cell) = 0.000
- density of states at the Fermi level (states/eV/cell) = 4.98

abc: 4.816 4.816 8.190
angles: 107.10 107.10 90.00
Positions (direct):
1 Pt 0.628 0.628 0.256
2 Pt 0.372 0.372 0.744
3 Nd 0.815 0.815 0.630
4 Nd 0.185 0.185 0.370
5 Nd 0.000 0.500 0.000
6 Nd 0.500 0.000 0.000
7 O 0.000 0.000 0.000